Here is Zr5Ni2Rh after structural relaxation from Alexandria. Energies are from PBE.

Unit cell a=6.5930 b=6.5930 c=8.3719 alpha=113.19 beta=113.19 gamma=90.00
Sites, in units of the cell vectors:
Zr 0.0182 0.5182 0.7002
Zr 0.5182 0.6820 0.7002
Zr 0.6820 0.1820 0.7002
Zr 0.5000 0.5000 0.0000
Zr 0.4818 0.3180 0.2998
Zr 0.3180 0.8180 0.2998
Rh 0.2500 0.2500 0.5000
Ni 0.6287 0.1287 0.0000
Ni 0.1287 0.3713 0.0000
Zr 0.0000 0.0000 0.0000
Ni 0.8713 0.6287 0.0000
Rh 0.7500 0.7500 0.5000
Zr 0.8180 0.9818 0.2998
Zr 0.9818 0.4818 0.2998
Ni 0.3713 0.8713 0.0000
Zr 0.1820 0.0182 0.7002

Values from the calculation:
- formation energy from the elements (eV per atom) = -0.405
- raw total energy (eV/cell) = -129.79



Here is ZrNi3Rh after structural relaxation from Alexandria. Energies are from PBE.

Unit cell a=4.4641 b=4.4641 c=4.4641 alpha=90.00 beta=90.00 gamma=90.00
Sites, in units of the cell vectors:
Ni 0.0000 0.5000 0.0000
Rh 0.5000 0.5000 0.5000
Zr 0.0000 0.0000 0.0000
Ni 0.5000 0.0000 0.0000
Ni 0.0000 0.0000 0.5000

Values from the calculation:
- formation energy from the elements (eV per atom) = 1.307
- raw total energy (eV/cell) = -26.71
- ΔE to the lowest computed polymorph (eV/atom) = 0.4923



Here is Zr3Ni2Rh after structural relaxation from Alexandria. Energies are from PBE.

Unit cell a=3.2540 b=4.5364 c=7.3228 alpha=108.04 beta=90.00 gamma=90.00
Sites, in units of the cell vectors:
Ni 0.0000 0.6560 0.3120
Zr 0.5000 0.5000 0.0000
Rh 0.0000 0.0000 0.0000
Zr 0.5000 0.1720 0.3441
Ni 0.0000 0.3440 0.6880
Zr 0.5000 0.8280 0.6559

Values from the calculation:
- formation energy from the elements (eV per atom) = -0.486
- raw total energy (eV/cell) = -47.47



Here is ZrNi4Rh after structural relaxation from Alexandria. Energies are from PBE.

Unit cell a=4.7899 b=4.7899 c=4.7899 alpha=60.00 beta=60.00 gamma=60.00
Each line ends with the local moment (μB).
Sites, in units of the cell vectors:
Zr 0.0000 0.0000 0.0000  -0.05
Ni 0.6240 0.6240 0.6240  0.18
Ni 0.1280 0.6240 0.6240  0.18
Ni 0.6240 0.6240 0.1280  0.18
Ni 0.6240 0.1280 0.6240  0.18
Rh 0.2500 0.2500 0.2500  0.12

Values from the calculation:
- formation energy from the elements (eV per atom) = -0.372
- raw total energy (eV/cell) = -41.26



Here is Zr4Ni6Rh7 after structural relaxation from Alexandria. Energies are from PBE.

Unit cell a=6.9092 b=6.9092 c=6.9092 alpha=109.47 beta=109.47 gamma=109.47
Sites, in units of the cell vectors:
Ni 0.3002 0.3002 0.0000
Rh 0.7500 0.2500 0.5000
Rh 0.2500 0.7500 0.5000
Ni 0.6998 0.0000 0.6998
Rh 0.0000 0.0000 0.0000
Rh 0.2500 0.5000 0.7500
Ni 0.0000 0.3002 0.3002
Zr 0.0000 0.5000 0.0000
Rh 0.5000 0.7500 0.2500
Rh 0.5000 0.2500 0.7500
Ni 0.6998 0.6998 0.0000
Zr 0.5000 0.5000 0.5000
Ni 0.3002 0.0000 0.3002
Ni 0.0000 0.6998 0.6998
Zr 0.5000 0.0000 0.0000
Zr 0.0000 0.0000 0.5000
Rh 0.7500 0.5000 0.2500

Values from the calculation:
- formation energy from the elements (eV per atom) = -0.465
- raw total energy (eV/cell) = -128.24



Here is ZrNi3Rh after structural relaxation from Alexandria. Energies are from PBE.

Unit cell a=4.4576 b=4.4576 c=4.4576 alpha=90.00 beta=90.00 gamma=90.00
Each line ends with the local moment (μB).
Sites, in units of the cell vectors:
Ni 0.0000 0.5000 0.0000  0.42
Ni 0.0000 0.0000 0.5000  0.74
Ni 0.5000 0.0000 0.0000  0.28
Zr 0.5000 0.5000 0.5000  -0.19
Rh 0.0000 0.0000 0.0000  0.64

Values from the calculation:
- formation energy from the elements (eV per atom) = 0.814
- raw total energy (eV/cell) = -29.17
- ΔE to the lowest computed polymorph (eV/atom) = 0.0000